No. 1
Below is a relaxed Tb4CeOs2 crystal, with properties calculated at the PBE level.

The value obtained for the final energy is -6.82 eV per atom. The formation energy is -121 meV/atom. Its crystal system is monoclinic.

Cell and atoms, written as POSCAR:
```
Tb4CeOs2
1.0
7.825 0.000 0.000
0.000 6.386 0.000
-3.214 0.000 7.361
Tb Ce Os
8 2 4
Direct
0.119 0.250 0.486
0.174 0.750 0.253
0.259 0.503 0.916
0.259 0.997 0.916
0.741 0.003 0.084
0.741 0.497 0.084
0.826 0.250 0.747
0.881 0.750 0.514
0.459 0.250 0.332
0.541 0.750 0.668
0.100 0.250 0.133
0.481 0.250 0.758
0.519 0.750 0.242
0.900 0.750 0.867
```



No. 2
Below is a relaxed Tb2CeOs crystal, with properties calculated at the PBE level.

The value obtained for the final energy is -6.64 eV per atom. The calculation puts the energy above the most stable polymorph in this dataset at 0.183 eV per atom. The formation energy is -38 meV/atom. Its crystal system is tetragonal.

Cell and atoms, written as POSCAR:
```
Tb2CeOs
1.0
3.410 0.000 0.000
0.000 3.410 0.000
0.000 0.000 9.229
Tb Ce Os
2 1 1
Direct
0.000 0.000 0.181
0.000 0.000 0.819
0.500 0.500 0.500
0.500 0.500 0.000
```